(1)
The following is a DFT calculation (PBE-GGA) of a relaxed structure of BaCrCd.

Magnetic moment   19.767 μB per cell
Calculated formation energy   82.7 kJ per mole of atoms

```
data_BaCrCd
_symmetry_space_group_name_H-M 'F -4 3 m'
_symmetry_Int_Tables_number 216
_symmetry_space_group_name_Hall 'F -4 2 3'
_cell_length_a 7.911
_cell_length_b 7.911
_cell_length_c 7.911
_cell_angle_alpha 90.00
_cell_angle_beta 90.00
_cell_angle_gamma 90.00
loop_
_atom_site_label
_atom_site_type_symbol
_atom_site_fract_x
_atom_site_fract_y
_atom_site_fract_z
_atom_site_occupancy
Ba1 Ba 0.000 0.000 0.000 1
Cr1 Cr 0.250 0.250 0.250 1
Cd1 Cd 0.250 0.250 0.750 1
```

(2)
The following is a DFT calculation (PBE-GGA) of a relaxed structure of BaCrCd.

Magnetic moment   4.827 μB per cell
Calculated formation energy   33.1 kJ per mole of atoms

```
data_BaCrCd
_symmetry_space_group_name_H-M 'P -6 m 2'
_symmetry_Int_Tables_number 187
_symmetry_space_group_name_Hall 'P -6 2'
_cell_length_a 5.0368
_cell_length_b 5.0368
_cell_length_c 4.5759
_cell_angle_alpha 90.00
_cell_angle_beta 90.00
_cell_angle_gamma 120.00
loop_
_atom_site_label
_atom_site_type_symbol
_atom_site_fract_x
_atom_site_fract_y
_atom_site_fract_z
_atom_site_occupancy
Ba1 Ba 0.0000 0.0000 0.0000 1
Cr1 Cr 0.3333 0.6667 0.5000 1
Cd1 Cd 0.6667 0.3333 0.5000 1
```

(3)
The following is a DFT calculation (PBE-GGA) of a relaxed structure of BaCrCd.

Magnetic moment   8.871 μB per cell
Calculated formation energy   36.3 kJ per mole of atoms

```
data_BaCrCd
_symmetry_space_group_name_H-M 'I 4 m m'
_symmetry_Int_Tables_number 107
_symmetry_space_group_name_Hall 'I 4 -2'
_cell_length_a 3.904
_cell_length_b 3.904
_cell_length_c 11.931
_cell_angle_alpha 90.00
_cell_angle_beta 90.00
_cell_angle_gamma 90.00
loop_
_atom_site_label
_atom_site_type_symbol
_atom_site_fract_x
_atom_site_fract_y
_atom_site_fract_z
_atom_site_occupancy
Ba1 Ba 0.000 0.000 0.000 1
Cr1 Cr 0.000 0.000 0.295 1
Cd1 Cd 0.000 0.000 0.705 1
```

magnetic moment of number 3 (BaCrCd)? 8.871 μB per cell